Record 1
This record from the Alexandria database describes an optimized crystal structure of NaNp2Sb4. The functional is PBE-GGA.

Computed properties:
- size of the total moment (μB/cell) = 6.569
- mass density (Mg/m³) = 7.8
- D(E_F) (states/eV/cell) = 22.6

Unit cell a=4.237 b=4.237 c=11.714 alpha=90.00 beta=90.00 gamma=90.00
Space group P-4m2 (No. 115)
Symmetry-distinct sites (fractional):
1 Na 0.000 0.000 0.000 x1
2 Np 0.000 0.500 0.709 x2
3 Sb 0.000 0.000 0.500 x1
4 Sb 0.000 0.500 0.211 x2
5 Sb 0.500 0.500 0.500 x1

Record 2
This record from the Alexandria database describes an optimized crystal structure of NaNpSb2. The functional is PBE-GGA.

Computed properties:
- energy above the most stable polymorph in this dataset (meV per atom) = 156
- size of the total moment (μB/cell) = 11.969
- mass density (Mg/m³) = 6.3
- D(E_F) (states/eV/cell) = 34.2

Unit cell a=4.7280 b=4.7280 c=20.4853 alpha=90.00 beta=90.00 gamma=120.00
Space group R3m (No. 160, hexagonal axes)
Symmetry-distinct sites (fractional):
1 Na 0.0000 0.0000 0.0000 x3
2 Np 0.0000 0.0000 0.1776 x3
3 Sb 0.0000 0.0000 0.4343 x3
4 Sb 0.0000 0.0000 0.5835 x3

Record 3
This record from the Alexandria database describes an optimized crystal structure of NaNpSb2. The functional is PBE-GGA.

Computed properties:
- energy above the most stable polymorph in this dataset (meV per atom) = 50
- size of the total moment (μB/cell) = 3.908
- mass density (Mg/m³) = 7.5
- D(E_F) (states/eV/cell) = 10.5

Unit cell a=3.986 b=3.986 c=6.988 alpha=90.00 beta=90.00 gamma=90.00
Space group P4/mmm (No. 123)
Symmetry-distinct sites (fractional):
1 Na 0.000 0.000 0.000 x1
2 Np 0.000 0.000 0.500 x1
3 Sb 0.500 0.500 0.275 x2

Record 4
This record from the Alexandria database describes an optimized crystal structure of Na3NpSb3Se8. The functional is PBE-GGA.

Computed properties:
- size of the total moment (μB/cell) = 9.001
- mass density (Mg/m³) = 5.1
- D(E_F) (states/eV/cell) = 11.9

Unit cell a=8.3286 b=8.3286 c=21.2897 alpha=90.00 beta=90.00 gamma=120.00
Space group R-3m (No. 166, hexagonal axes)
Symmetry-distinct sites (fractional):
1 Na 0.0000 0.5000 0.0000 x9
2 Np 0.0000 0.0000 0.5000 x3
3 Sb 0.0000 0.5000 0.5000 x9
4 Se 0.0000 0.0000 0.2442 x6
5 Se 0.0063 0.5032 0.2410 x18

no.,uncorrected formation energy (meV/atom)
1,-205
2,-79
3,-185
4,-722